Record 1
Here is a relaxed structure of AuC2 from Alexandria via LeMat-Bulk. Energies are from PBE.

```
data_AuC2
_chemical_formula_sum 'Au1 C2'
_space_group_name_H-M_alt 'P 1'
_space_group_IT_number 1
_cell_length_a 4.608
_cell_length_b 4.608
_cell_length_c 4.608
_cell_angle_alpha 45.87
_cell_angle_beta 45.87
_cell_angle_gamma 45.87
loop_
_space_group_symop_operation_xyz
'x,y,z'
loop_
_atom_site_label
_atom_site_type_symbol
_atom_site_fract_x
_atom_site_fract_y
_atom_site_fract_z
Au1 Au 0.000 0.000 0.000
C1 C 0.735 0.735 0.735
C2 C 0.839 0.839 0.839
```

Properties
Raw total energy = -16.91 eV per cell
E above lowest polymorph = 1338 meV per atom
N(E_F) = 2.02 states/eV/f.u.
Space-group type = R3m (160)
Mass density = 7983 kg/m³
Volume = 46 Å³/cell

***

Record 2
Here is a relaxed structure of MnZn4Cu2 from Alexandria via LeMat-Bulk. Energies are from PBE.

```
data_MnZn4Cu2
_chemical_formula_sum 'Mn1 Zn4 Cu2'
_space_group_name_H-M_alt 'P 1'
_space_group_IT_number 1
_cell_length_a 10.180
_cell_length_b 10.180
_cell_length_c 3.780
_cell_angle_alpha 90.00
_cell_angle_beta 90.00
_cell_angle_gamma 165.02
loop_
_space_group_symop_operation_xyz
'x,y,z'
loop_
_atom_site_label
_atom_site_type_symbol
_atom_site_fract_x
_atom_site_fract_y
_atom_site_fract_z
Mn1 Mn 0.000 0.000 0.000
Zn1 Zn 0.142 0.858 0.000
Zn2 Zn 0.432 0.568 0.500
Zn3 Zn 0.568 0.432 0.500
Zn4 Zn 0.858 0.142 0.000
Cu1 Cu 0.302 0.698 0.500
Cu2 Cu 0.698 0.302 0.500
```

Properties
Raw total energy = -21.72 eV per cell
N(E_F) = 3.60 states/eV/f.u.
Space-group type = Cmmm (65)
Mass density = 7277 kg/m³
Volume = 101 Å³/cell

***

Record 3
Here is a relaxed structure of AcNdH from Alexandria via LeMat-Bulk. Energies are from PBE.

```
data_AcNdH
_chemical_formula_sum 'Ac4 Nd4 H4'
_space_group_name_H-M_alt 'P 1'
_space_group_IT_number 1
_cell_length_a 7.039
_cell_length_b 7.039
_cell_length_c 6.940
_cell_angle_alpha 95.78
_cell_angle_beta 95.78
_cell_angle_gamma 96.40
loop_
_space_group_symop_operation_xyz
'x,y,z'
loop_
_atom_site_label
_atom_site_type_symbol
_atom_site_fract_x
_atom_site_fract_y
_atom_site_fract_z
Ac1 Ac 0.094 0.906 0.500
Ac2 Ac 0.135 0.614 0.934
Ac3 Ac 0.614 0.135 0.434
Ac4 Ac 0.906 0.094 0.000
Nd1 Nd 0.190 0.399 0.421
Nd2 Nd 0.399 0.190 0.921
Nd3 Nd 0.607 0.679 0.709
Nd4 Nd 0.679 0.607 0.209
H1 H 0.112 0.260 0.738
H2 H 0.260 0.112 0.238
H3 H 0.812 0.919 0.267
H4 H 0.919 0.812 0.767
```

Properties
Raw total energy = -50.47 eV per cell
E above lowest polymorph = 32 meV per atom
N(E_F) = 2.97 states/eV/f.u.
Space-group type = Cc (9)
Mass density = 7319 kg/m³
Volume = 338 Å³/cell

***

Record 4
Here is a relaxed structure of CaTb6In5 from Alexandria via LeMat-Bulk. Energies are from PBE.

```
data_CaTb6In5
_chemical_formula_sum 'Ca1 Tb6 In5'
_space_group_name_H-M_alt 'P 1'
_space_group_IT_number 1
_cell_length_a 9.414
_cell_length_b 9.414
_cell_length_c 9.414
_cell_angle_alpha 146.73
_cell_angle_beta 132.50
_cell_angle_gamma 59.23
loop_
_space_group_symop_operation_xyz
'x,y,z'
loop_
_atom_site_label
_atom_site_type_symbol
_atom_site_fract_x
_atom_site_fract_y
_atom_site_fract_z
Ca1 Ca 0.000 0.000 0.000
Tb1 Tb 0.083 0.826 0.257
Tb2 Tb 0.269 0.500 0.769
Tb3 Tb 0.431 0.174 0.257
Tb4 Tb 0.569 0.826 0.743
Tb5 Tb 0.731 0.500 0.231
Tb6 Tb 0.917 0.174 0.743
In1 In 0.151 0.651 0.500
In2 In 0.333 0.333 0.000
In3 In 0.500 0.000 0.500
In4 In 0.667 0.667 0.000
In5 In 0.849 0.349 0.500
```

Properties
Raw total energy = -48.08 eV per cell
N(E_F) = 8.70 states/eV/f.u.
Space-group type = Immm (71)
Mass density = 7783 kg/m³
Volume = 334 Å³/cell

***

Record 5
Here is a relaxed structure of Ti2InCu from Alexandria via LeMat-Bulk. Energies are from PBE.

```
data_Ti2InCu
_chemical_formula_sum 'Ti4 In2 Cu2'
_space_group_name_H-M_alt 'P 1'
_space_group_IT_number 1
_cell_length_a 8.067
_cell_length_b 8.067
_cell_length_c 8.067
_cell_angle_alpha 149.54
_cell_angle_beta 149.54
_cell_angle_gamma 43.61
loop_
_space_group_symop_operation_xyz
'x,y,z'
loop_
_atom_site_label
_atom_site_type_symbol
_atom_site_fract_x
_atom_site_fract_y
_atom_site_fract_z
Ti1 Ti 0.000 0.500 0.500
Ti2 Ti 0.133 0.133 0.000
Ti3 Ti 0.500 0.000 0.500
Ti4 Ti 0.867 0.867 0.000
In1 In 0.362 0.362 0.000
In2 In 0.638 0.638 0.000
Cu1 Cu 0.250 0.750 0.500
Cu2 Cu 0.750 0.250 0.500
```

Properties
Raw total energy = -46.20 eV per cell
N(E_F) = 4.80 states/eV/f.u.
Space-group type = I4/mmm (139)
Mass density = 6768 kg/m³
Volume = 135 Å³/cell

***

Record 6
Here is a relaxed structure of Zn3BiCl from Alexandria via LeMat-Bulk. Energies are from PBE.

```
data_Zn3BiCl
_chemical_formula_sum 'Zn3 Bi1 Cl1'
_space_group_name_H-M_alt 'P 1'
_space_group_IT_number 1
_cell_length_a 5.522
_cell_length_b 5.522
_cell_length_c 5.522
_cell_angle_alpha 90.00
_cell_angle_beta 90.00
_cell_angle_gamma 90.00
loop_
_space_group_symop_operation_xyz
'x,y,z'
loop_
_atom_site_label
_atom_site_type_symbol
_atom_site_fract_x
_atom_site_fract_y
_atom_site_fract_z
Zn1 Zn 0.000 0.000 0.500
Zn2 Zn 0.000 0.500 0.000
Zn3 Zn 0.500 0.000 0.000
Bi1 Bi 0.000 0.000 0.000
Cl1 Cl 0.500 0.500 0.500
```

Properties
Raw total energy = -8.61 eV per cell
E above lowest polymorph = 0 meV per atom
N(E_F) = 1.09 states/eV/f.u.
Space-group type = Pm-3m (221)
Mass density = 4345 kg/m³
Volume = 168 Å³/cell
E_form (uncorrected) = 0.1871 eV/atom